1.
An optimized crystal structure of TbThSc2Bi4. Source: the Alexandria database, functional PBE-GGA.

## Properties
The energy of formation from the pure elements comes out at -0.695 eV per atom.

Cell lengths 4.427, 7.648, 7.605 Å; angles 109.60, 90.00, 90.00 degrees
Fractional positions:
Bi 0.000 0.752 0.268
Tb 0.500 0.500 0.000
Sc 0.000 0.500 0.500
Bi 0.000 0.248 0.732
Th 0.000 0.000 0.000
Sc 0.500 0.000 0.500
Bi 0.500 0.261 0.272
Bi 0.500 0.739 0.728

=====

2.
An optimized crystal structure of Tb2ThScBi5. Source: the Alexandria database, functional PBE-GGA.

## Properties
The energy of formation from the pure elements comes out at 0.219 eV per atom.

Cell lengths 5.781, 5.781, 11.491 Å; angles 90.00, 90.00, 90.00 degrees
Fractional positions:
Bi 0.000 0.500 0.500
Th 0.000 0.000 0.500
Bi 0.000 0.000 0.765
Tb 0.500 0.500 0.714
Bi 0.500 0.000 0.500
Bi 0.500 0.500 0.000
Bi 0.000 0.000 0.235
Tb 0.500 0.500 0.286
Sc 0.000 0.000 0.000

=====

3.
An optimized crystal structure of TbTm2ScBi4. Source: the Alexandria database, functional PBE-GGA.

## Properties
The energy of formation from the pure elements comes out at -0.766 eV per atom.

Cell lengths 4.413, 7.637, 7.640 Å; angles 109.46, 90.00, 90.00 degrees
Fractional positions:
Tm 0.500 0.000 0.500
Tm 0.000 0.500 0.500
Bi 0.500 0.743 0.751
Sc 0.500 0.500 0.000
Tb 0.000 0.000 0.000
Bi 0.500 0.257 0.249
Bi 0.000 0.259 0.756
Bi 0.000 0.741 0.244

=====

4.
An optimized crystal structure of TbTmSc2Bi4. Source: the Alexandria database, functional PBE-GGA.

## Properties
The energy of formation from the pure elements comes out at -0.741 eV per atom.

Cell lengths 4.367, 7.564, 7.560 Å; angles 109.46, 90.00, 90.00 degrees
Fractional positions:
Sc 0.000 0.500 0.500
Tm 0.000 0.000 0.000
Bi 0.000 0.243 0.736
Bi 0.500 0.748 0.737
Bi 0.000 0.757 0.264
Bi 0.500 0.252 0.263
Tb 0.500 0.500 0.000
Sc 0.500 0.000 0.500

=====

5.
An optimized crystal structure of Tb2TmSc3Bi6. Source: the Alexandria database, functional PBE-GGA.

## Properties
The energy of formation from the pure elements comes out at -0.750 eV per atom.

Cell lengths 7.576, 7.576, 7.563 Å; angles 99.60, 99.60, 120.02 degrees
Fractional positions:
Bi 0.581 0.912 0.736
Tb 0.666 0.334 0.000
Bi 0.758 0.758 0.265
Bi 0.088 0.419 0.264
Tm 0.000 0.000 0.000
Bi 0.912 0.581 0.736
Sc 0.832 0.168 0.500
Bi 0.242 0.242 0.735
Bi 0.419 0.088 0.264
Tb 0.334 0.666 0.000
Sc 0.500 0.500 0.500
Sc 0.168 0.832 0.500

=====

6.
An optimized crystal structure of Tb2TmScBi4. Source: the Alexandria database, functional PBE-GGA.

## Properties
The energy of formation from the pure elements comes out at -0.793 eV per atom.

Cell lengths 4.428, 7.665, 7.658 Å; angles 109.48, 90.00, 90.00 degrees
Fractional positions:
Tb 0.000 0.500 0.500
Bi 0.500 0.252 0.242
Sc 0.500 0.500 0.000
Tm 0.000 0.000 0.000
Bi 0.000 0.741 0.238
Tb 0.500 0.000 0.500
Bi 0.500 0.748 0.758
Bi 0.000 0.259 0.762

=====

7.
An optimized crystal structure of TbTm2Sc3Bi6. Source: the Alexandria database, functional PBE-GGA.

## Properties
The energy of formation from the pure elements comes out at -0.734 eV per atom.

Cell lengths 7.556, 7.556, 7.547 Å; angles 99.59, 99.59, 120.02 degrees
Fractional positions:
Bi 0.088 0.424 0.263
Tm 0.667 0.333 0.000
Bi 0.576 0.912 0.737
Sc 0.165 0.835 0.500
Tm 0.333 0.667 0.000
Bi 0.424 0.088 0.263
Bi 0.912 0.576 0.737
Sc 0.500 0.500 0.500
Bi 0.751 0.751 0.262
Tb 0.000 0.000 0.000
Sc 0.835 0.165 0.500
Bi 0.249 0.249 0.738

=====

8.
An optimized crystal structure of Tb3Y2ScBi6. Source: the Alexandria database, functional PBE-GGA.

## Properties
The energy of formation from the pure elements comes out at -0.842 eV per atom.

Cell lengths 4.455, 8.909, 9.954 Å; angles 102.85, 102.93, 90.00 degrees
Fractional positions:
Bi 0.001 0.761 0.002
Bi 0.999 0.239 0.998
Bi 0.338 0.919 0.676
Tb 0.831 0.166 0.663
Tb 0.500 0.500 0.000
Y 0.834 0.667 0.668
Y 0.166 0.333 0.332
Bi 0.662 0.081 0.324
Sc 0.500 0.000 0.000
Bi 0.333 0.417 0.666
Tb 0.169 0.834 0.337
Bi 0.667 0.583 0.334

=====

9.
An optimized crystal structure of TbY3Sc2Bi6. Source: the Alexandria database, functional PBE-GGA.

## Properties
The energy of formation from the pure elements comes out at -0.807 eV per atom.

Cell lengths 7.650, 7.650, 7.646 Å; angles 99.62, 99.62, 120.03 degrees
Fractional positions:
Tb 0.000 0.000 0.000
Bi 0.919 0.577 0.758
Y 0.163 0.837 0.500
Bi 0.264 0.264 0.763
Bi 0.577 0.919 0.758
Y 0.500 0.500 0.500
Bi 0.081 0.423 0.242
Bi 0.736 0.736 0.237
Sc 0.668 0.332 0.000
Sc 0.332 0.668 0.000
Bi 0.423 0.081 0.242
Y 0.837 0.163 0.500

=====

10.
An optimized crystal structure of Tb2YScBi4. Source: the Alexandria database, functional PBE-GGA.

## Properties
The energy of formation from the pure elements comes out at -0.819 eV per atom.

Cell lengths 4.441, 7.687, 7.683 Å; angles 109.48, 90.00, 90.00 degrees
Fractional positions:
Bi 0.000 0.740 0.240
Bi 0.000 0.260 0.760
Tb 0.500 0.000 0.500
Bi 0.500 0.255 0.244
Bi 0.500 0.745 0.756
Y 0.000 0.000 0.000
Sc 0.500 0.500 0.000
Tb 0.000 0.500 0.500

=====

11.
An optimized crystal structure of Tb2YSc3Bi6. Source: the Alexandria database, functional PBE-GGA.

## Properties
The energy of formation from the pure elements comes out at -0.768 eV per atom.

Cell lengths 7.592, 7.592, 7.575 Å; angles 99.60, 99.60, 120.02 degrees
Fractional positions:
Bi 0.912 0.579 0.735
Bi 0.421 0.088 0.265
Bi 0.088 0.421 0.265
Y 0.000 0.000 0.000
Tb 0.333 0.667 0.000
Bi 0.756 0.756 0.266
Bi 0.579 0.912 0.735
Sc 0.167 0.833 0.500
Tb 0.667 0.333 0.000
Sc 0.833 0.167 0.500
Sc 0.500 0.500 0.500
Bi 0.244 0.244 0.734

=====

12.
An optimized crystal structure of TbY2ScBi4. Source: the Alexandria database, functional PBE-GGA.

## Properties
The energy of formation from the pure elements comes out at -0.823 eV per atom.

Cell lengths 4.437, 7.680, 7.683 Å; angles 109.47, 90.00, 90.00 degrees
Fractional positions:
Bi 0.500 0.255 0.245
Y 0.000 0.500 0.500
Bi 0.000 0.260 0.760
Bi 0.000 0.740 0.240
Bi 0.500 0.745 0.755
Sc 0.500 0.500 0.000
Tb 0.000 0.000 0.000
Y 0.500 0.000 0.500

=====

13.
An optimized crystal structure of Tb2ZrScBi4. Source: the Alexandria database, functional PBE-GGA.

## Properties
The energy of formation from the pure elements comes out at -0.655 eV per atom.

Cell lengths 4.364, 7.560, 7.572 Å; angles 109.33, 90.00, 90.00 degrees
Fractional positions:
Tb 0.500 0.000 0.500
Sc 0.500 0.500 0.000
Bi 0.000 0.256 0.765
Tb 0.000 0.500 0.500
Bi 0.000 0.744 0.235
Zr 0.000 0.000 0.000
Bi 0.500 0.754 0.764
Bi 0.500 0.246 0.236

=====

14.
An optimized crystal structure of Sc8Tc2Bi. Source: the Alexandria database, functional PBE-GGA.

## Properties
The energy of formation from the pure elements comes out at -0.256 eV per atom.

Cell lengths 4.385, 7.069, 8.833 Å; angles 109.43, 104.35, 89.99 degrees
Fractional positions:
Sc 0.479 0.693 0.594
Tc 0.496 0.308 0.627
Sc 0.884 0.307 0.406
Tc 0.868 0.692 0.373
Sc 0.285 0.474 0.207
Sc 0.647 0.260 0.930
Sc 0.078 0.526 0.793
Sc 0.717 0.740 0.070
Bi 0.182 0.000 0.000
Sc 0.004 0.058 0.644
Sc 0.360 0.942 0.356

=====

15.
An optimized crystal structure of ScTcBi2. Source: the Alexandria database, functional PBE-GGA.

## Properties
The energy of formation from the pure elements comes out at 0.415 eV per atom. For the excess energy over the best structure of this formula in the dataset, the calculation gives 0.340 eV/atom.

Cell lengths 4.450, 4.450, 10.523 Å; angles 77.79, 77.79, 90.00 degrees
Each line ends with the local moment (μB).
Fractional positions:
Bi 0.113 0.625 0.250  -0.01
Bi 0.375 0.363 0.750  -0.01
Bi 0.875 0.887 0.750  -0.01
Tc 0.750 0.250 0.500  0.55
Sc 0.500 0.500 0.000  -0.09
Sc 0.250 0.750 0.500  -0.09
Tc 0.000 0.000 0.000  0.56
Bi 0.637 0.125 0.250  -0.01

=====

16.
An optimized crystal structure of ScTc2Bi. Source: the Alexandria database, functional PBE-GGA.

## Properties
The energy of formation from the pure elements comes out at 0.483 eV per atom.

Cell lengths 4.144, 4.144, 10.161 Å; angles 78.23, 78.23, 90.00 degrees
Fractional positions:
Sc 0.500 0.500 0.000
Tc 0.875 0.792 0.750
Tc 0.208 0.625 0.250
Sc 0.250 0.750 0.500
Bi 0.000 0.000 0.000
Tc 0.375 0.458 0.750
Bi 0.750 0.250 0.500
Tc 0.542 0.125 0.250

=====

17.
An optimized crystal structure of ScTc2Bi2. Source: the Alexandria database, functional PBE-GGA.

## Properties
The energy of formation from the pure elements comes out at 0.524 eV per atom. For the excess energy over the best structure of this formula in the dataset, the calculation gives 0.123 eV/atom.

Cell lengths 4.669, 4.669, 6.346 Å; angles 68.42, 68.42, 90.00 degrees
Fractional positions:
Sc 0.000 0.000 0.000
Bi 0.366 0.366 0.268
Tc 0.250 0.750 0.500
Tc 0.750 0.250 0.500
Bi 0.634 0.634 0.732

=====

18.
An optimized crystal structure of ScTcBi2. Source: the Alexandria database, functional PBE-GGA.

## Properties
The energy of formation from the pure elements comes out at 0.074 eV per atom. For the excess energy over the best structure of this formula in the dataset, the calculation gives 0.000 eV/atom.

Cell lengths 4.976, 4.976, 4.976 Å; angles 60.00, 60.00, 60.00 degrees
Fractional positions:
Bi 0.250 0.250 0.250
Bi 0.750 0.750 0.750
Sc 0.000 0.000 0.000
Tc 0.500 0.500 0.500

=====

19.
An optimized crystal structure of Sc8TcBi2. Source: the Alexandria database, functional PBE-GGA.

## Properties
The energy of formation from the pure elements comes out at -0.303 eV per atom.

Cell lengths 5.134, 6.723, 8.521 Å; angles 113.22, 107.53, 90.00 degrees
Fractional positions:
Bi 0.812 0.312 0.625
Sc 0.179 0.179 0.358
Sc 0.377 0.141 0.754
Sc 0.623 0.859 0.246
Sc 0.000 0.759 0.000
Sc 0.000 0.241 0.000
Sc 0.623 0.388 0.246
Tc 0.500 0.000 0.000
Sc 0.821 0.821 0.642
Sc 0.377 0.612 0.754
Bi 0.188 0.688 0.375

=====

20.
An optimized crystal structure of ScTc4Bi2. Source: the Alexandria database, functional PBE-GGA.

## Properties
The energy of formation from the pure elements comes out at 1.362 eV per atom.

Cell lengths 4.664, 4.664, 7.699 Å; angles 72.37, 72.37, 90.00 degrees
Each line ends with the local moment (μB).
Fractional positions:
Sc 0.000 0.000 0.000  -0.04
Tc 0.000 0.500 0.000  -0.15
Tc 0.500 0.000 0.000  -0.15
Tc 0.822 0.822 0.356  1.19
Tc 0.178 0.178 0.644  1.19
Bi 0.371 0.371 0.257  -0.05
Bi 0.629 0.629 0.743  -0.05

=====

21.
An optimized crystal structure of Sc3TcBi. Source: the Alexandria database, functional PBE-GGA.

## Properties
The energy of formation from the pure elements comes out at -0.061 eV per atom. For the excess energy over the best structure of this formula in the dataset, the calculation gives 0.000 eV/atom.

Cell lengths 5.019, 5.019, 5.019 Å; angles 90.00, 90.00, 90.00 degrees
Fractional positions:
Tc 0.000 0.000 0.000
Sc 0.000 0.000 0.500
Sc 0.000 0.500 0.000
Sc 0.500 0.000 0.000
Bi 0.500 0.500 0.500

=====

22.
An optimized crystal structure of ScTc2Bi2. Source: the Alexandria database, functional PBE-GGA.

## Properties
The energy of formation from the pure elements comes out at 0.401 eV per atom. For the excess energy over the best structure of this formula in the dataset, the calculation gives 0.000 eV/atom.

Cell lengths 7.931, 7.931, 3.281 Å; angles 90.00, 90.00, 90.00 degrees
Each line ends with the local moment (μB).
Fractional positions:
Bi 0.846 0.654 0.000  0.00
Tc 0.141 0.641 0.500  0.00
Tc 0.359 0.141 0.500  0.01
Sc 0.500 0.500 0.000  0.08
Bi 0.154 0.346 0.000  0.00
Tc 0.859 0.359 0.500  0.00
Bi 0.654 0.154 0.000  0.00
Tc 0.641 0.859 0.500  0.01
Bi 0.346 0.846 0.000  0.00
Sc 0.000 0.000 0.000  0.08

=====

23.
An optimized crystal structure of Sc2Tc2Bi. Source: the Alexandria database, functional PBE-GGA.

## Properties
The energy of formation from the pure elements comes out at -0.062 eV per atom.

Cell lengths 7.753, 7.753, 3.376 Å; angles 90.00, 90.00, 90.00 degrees
Fractional positions:
Sc 0.184 0.684 0.500
Sc 0.816 0.316 0.500
Bi 0.000 0.000 0.000
Sc 0.316 0.184 0.500
Tc 0.898 0.602 0.000
Tc 0.102 0.398 0.000
Bi 0.500 0.500 0.000
Sc 0.684 0.816 0.500
Tc 0.602 0.102 0.000
Tc 0.398 0.898 0.000

=====

24.
An optimized crystal structure of ScTcBiTe2. Source: the Alexandria database, functional PBE-GGA.

## Properties
For the uncorrected formation energy, the calculation gives 1076 meV per atom.

Cell lengths 5.911, 5.149, 5.911 Å; angles 90.00, 90.00, 90.00 degrees
Each line ends with the local moment (μB).
Fractional positions:
Sc 0.500 0.500 0.500  -0.69
Tc 0.000 0.500 0.000  2.60
Bi 0.000 0.000 0.000  -0.10
Te 0.000 0.000 0.500  0.11
Te 0.500 0.000 0.000  0.10

=====

Result set for N(E_F): 0.25; 0.75; 0.17; 0.19; 0.18; 0.17; 0.18; 0.17; 0.18; 0.17; 0.18; 0.17; 0.24; 1.11; 0.68; 0.64; 1.42; 0.83; 1.10; 1.38; 0.93; 1.15; 0.80; 1.56 states/eV/atom, one per record in the order listed.
Result set for electronic total energy: -5.724; -4.494; -5.194; -5.402; -5.417; -5.242; -5.389; -5.545; -5.804; -5.517; -5.602; -5.750; -5.613; -7.098; -5.700; -7.253; -6.442; -6.040; -6.556; -6.574; -6.710; -6.564; -7.517; -4.296 eV/atom, one per record in the order listed.
Result set for M_tot: 0.00; 0.00; 0.00; 0.00; 0.00; 0.00; 0.00; 0.00; 0.00; 0.00; 0.00; 0.00; 0.00; 0.00; 0.46; 0.00; 0.00; 0.00; 0.00; 2.12; 0.00; 0.13; 0.00; 2.29 μB/f.u., one per record in the order listed.